The following is a DFT calculation (GGA-PBE) of CdFeNi2S after structural relaxation.

## Properties
The magnetization is 3.24 μB per cell. As for the raw formation energy: 0.51 eV per atom. Its density of states at the Fermi level is 4.20 states/eV/f.u.

abc: 4.4932 4.1213 4.4932
angles: 90.00 90.00 90.00
Site moments in Bohr magnetons follow the coordinates.
Fractional positions:
1 Fe 0.0000 0.0000 0.0000  1.99
2 Cd 0.5000 0.5000 0.5000  0.00
3 Ni 0.5000 0.0000 0.0000  0.47
4 S 0.0000 0.5000 0.0000  0.00
5 Ni 0.0000 0.0000 0.5000  0.80

The following is a DFT calculation (GGA-PBE) of Sm8SiSb2 after structural relaxation.

## Properties
The magnetization is 0.00 μB per cell. As for the raw formation energy: -0.49 eV per atom. Its density of states at the Fermi level is 14.61 states/eV/f.u.

abc: 4.7237 7.6466 9.6426
angles: 94.02 104.18 90.00
Fractional positions:
1 Si 0.5000 0.0000 0.0000
2 Sm 0.5975 0.5238 0.1950
3 Sm 0.0001 0.7686 0.0001
4 Sm 0.9999 0.2314 0.9999
5 Sm 0.3438 0.9572 0.6875
6 Sb 0.1766 0.7753 0.3533
7 Sm 0.6562 0.0428 0.3125
8 Sm 0.4025 0.4762 0.8050
9 Sm 0.2171 0.3595 0.4343
10 Sb 0.8234 0.2247 0.6467
11 Sm 0.7829 0.6405 0.5657

The following is a DFT calculation (GGA-PBE) of UZn3Ru4 after structural relaxation.

## Properties
The value obtained for the formation enthalpy at 0 K is -0.20 eV per atom. The magnetization is 0.00 μB per cell. Its density of states at the Fermi level is 6.43 states/eV/f.u.

abc: 4.3785 4.3786 6.9659
angles: 108.22 108.32 90.00
Fractional positions:
1 U 0.5000 0.0000 0.0000
2 Ru 0.8714 0.8717 0.7429
3 Zn 0.2467 0.7456 0.4933
4 Ru 0.3714 0.3696 0.7429
5 Zn 0.0000 0.5000 0.0000
6 Zn 0.7533 0.2544 0.5067
7 Ru 0.6286 0.6304 0.2571
8 Ru 0.1286 0.1283 0.2571